Material: Cu4Ag
Method: DFT, PBE
State: optimized geometry

Unit cell a=6.404 b=2.694 c=7.802 alpha=90.00 beta=103.94 gamma=90.00
Fractional coordinates of all 10 atoms:
Cu 0.248 0.250 0.268
Cu 0.052 0.250 0.638
Cu 0.752 0.750 0.732
Cu 0.462 0.250 0.830
Cu 0.538 0.750 0.170
Cu 0.352 0.750 0.548
Cu 0.948 0.750 0.362
Ag 0.835 0.250 0.055
Ag 0.165 0.750 0.945
Cu 0.648 0.250 0.452

Output
**Calculated volume**: 13.1 Å³/atom
**Space group**: No. 11
**Formation energy from the elements**: 0.0679 eV per atom

***

Material: Y2ErIn3Pt2
Method: DFT, PBE
State: optimized geometry

Unit cell a=3.632 b=7.697 c=7.697 alpha=119.92 beta=90.00 gamma=90.00
Fractional coordinates of all 8 atoms:
Er 0.000 0.422 0.422
In 0.500 0.231 0.001
In 0.500 0.768 0.768
Y 0.000 0.580 0.000
In 0.500 0.001 0.231
Pt 0.500 0.335 0.663
Pt 0.500 0.663 0.335
Y 0.000 0.000 0.580

Output
**Calculated volume**: 23.3 Å³/atom
**Space group**: No. 38
**Total magnetization**: 0.01 Bohr magnetons per cell
**Final energy**: -5.615 eV/atom

***

Material: GdZrFe
Method: DFT, PBE
State: optimized geometry

Unit cell a=4.540 b=4.540 c=4.540 alpha=60.00 beta=60.00 gamma=60.00
Fractional coordinates of all 3 atoms:
Fe 0.000 0.000 0.000
Zr 0.750 0.750 0.750
Gd 0.250 0.250 0.250

Output
**Calculated volume**: 22.1 Å³/atom
**Space group**: No. 216
**Total magnetization**: 0.01 Bohr magnetons per cell
**Formation energy from the elements**: 0.2030 eV per atom

***

Material: RbGd3F10
Method: DFT, PBE
State: optimized geometry

Unit cell a=8.141 b=8.141 c=13.287 alpha=90.00 beta=90.00 gamma=120.00
Fractional coordinates of all 56 atoms:
F 0.634 0.817 0.425
F 0.670 0.667 0.119
Gd 0.348 0.174 0.749
F 0.817 0.183 0.925
F 0.482 0.518 0.312
F 0.889 0.111 0.286
F 0.559 0.780 0.950
F 0.817 0.634 0.925
F 0.330 0.333 0.619
Gd 0.987 0.494 0.989
F 0.333 0.667 0.193
Gd 0.494 0.506 0.489
F 0.037 0.518 0.312
F 0.330 0.997 0.619
Gd 0.494 0.987 0.489
F 0.220 0.780 0.950
Gd 0.652 0.826 0.249
Gd 0.506 0.013 0.989
Gd 0.013 0.506 0.489
F 0.667 0.670 0.619
Rb 0.333 0.667 0.743
F 0.003 0.670 0.619
F 0.997 0.667 0.119
F 0.518 0.482 0.812
F 0.183 0.817 0.425
F 0.889 0.778 0.286
F 0.441 0.220 0.450
Rb 0.667 0.333 0.243
F 0.778 0.889 0.786
Gd 0.506 0.494 0.989
Gd 0.826 0.174 0.749
Rb 0.000 0.000 0.000
F 0.183 0.366 0.425
F 0.667 0.333 0.036
Rb 0.000 0.000 0.500
F 0.003 0.333 0.619
F 0.780 0.220 0.450
F 0.366 0.183 0.925
F 0.482 0.963 0.312
F 0.333 0.667 0.536
F 0.670 0.003 0.119
F 0.518 0.037 0.812
F 0.111 0.222 0.786
F 0.997 0.330 0.119
F 0.220 0.441 0.950
Gd 0.826 0.652 0.749
F 0.667 0.997 0.619
F 0.111 0.889 0.786
F 0.667 0.333 0.693
F 0.963 0.482 0.812
Gd 0.174 0.348 0.249
Gd 0.174 0.826 0.249
F 0.780 0.559 0.450
F 0.222 0.111 0.286
F 0.333 0.003 0.119
F 0.333 0.330 0.119

Output
**Calculated volume**: 13.6 Å³/atom
**Space group**: No. 186
**Total magnetization**: 0.01 Bohr magnetons per cell
**Final energy**: -6.359 eV/atom

***

Which of these has the highest calculated volume? Y2ErIn3Pt2

***

Among the records above, which one has the lowest calculated volume? Cu4Ag